VASP calculation (PBE-GGA) on an optimized crystal structure of TmTl2InCl6.

Values from the calculation:
* calculated volume: 34.6 A^3/atom
* spin magnetization: 0.000 μB/cell
* formation energy from raw total energies: -15.08 eV/f.u.

Lattice parameters (Å, degrees): 7.956 7.956 7.956 58.73 58.73 58.73
Sites, in units of the cell vectors:
Tm 0.000 0.000 0.000
Tl 0.298 0.298 0.298
Tl 0.788 0.788 0.788
In 0.510 0.510 0.510
Cl 0.124 0.322 0.766
Cl 0.198 0.884 0.669
Cl 0.322 0.766 0.124
Cl 0.669 0.198 0.884
Cl 0.766 0.124 0.322
Cl 0.884 0.669 0.198